[1]
This record from the Alexandria database describes a geometry-optimized DyMgZrIn structure. The functional is PBE.

* space group: F-43m, No. 216
* magnetic moment: 0.00 Bohr magnetons per cell
* ΔE_f: -0.1758 eV per atom

a = 5.137 Å, b = 5.137 Å, c = 5.137 Å
α = 60.00°, β = 60.00°, γ = 60.00°
Fractional coordinates of all 4 atoms:
Dy 0.000 0.000 0.000
Mg 0.750 0.750 0.750
Zr 0.500 0.500 0.500
In 0.250 0.250 0.250

[2]
This record from the Alexandria database describes a geometry-optimized NbCd2NiRu structure. The functional is PBE.

* space group: P4/mmm, No. 123
* magnetic moment: 0.44 Bohr magnetons per cell
* ΔE_f: 1.1212 eV per atom

a = 5.108 Å, b = 5.108 Å, c = 4.626 Å
α = 90.00°, β = 90.00°, γ = 90.00°
Fractional coordinates of all 5 atoms:
Nb 0.000 0.000 0.000
Cd 0.000 0.500 0.500
Cd 0.500 0.000 0.500
Ni 0.500 0.500 0.000
Ru 0.000 0.000 0.500